Entry 1:
Below is a PBEsol-optimized structure of Ca2MnO4, with properties calculated at the SCAN level.

POSCAR file:
```
Ca2MnO4
1.0
3.691 0.000 0.000
0.000 3.691 0.000
-1.846 -1.846 5.855
O Ca Mn
4 2 1
Direct
0.337 0.337 0.674
0.663 0.663 0.326
0.500 0.000 0.000
0.000 0.500 0.000
0.855 0.855 0.711
0.145 0.145 0.289
0.500 0.500 0.000
```

Properties
**ΔE_f (raw)**: -2.874 eV/atom
**Total energy**: -0.4338 hartree per atom
**E above lowest polymorph**: 9 meV/atom

=====

Entry 2:
Below is a PBEsol-optimized structure of Ca3MnO4, with properties calculated at the SCAN level.

POSCAR file:
```
Ca3MnO4
1.0
-1.713 2.166 1.850
0.182 -3.627 4.415
4.553 3.453 0.172
Ca Mn O
3 1 4
Direct
0.500 0.500 0.000
0.000 0.500 0.500
0.500 0.000 0.500
0.000 0.000 0.000
0.000 0.246 0.754
0.500 0.759 0.759
0.500 0.241 0.241
0.000 0.754 0.246
```

Properties
**ΔE_f (raw)**: -2.893 eV/atom
**Total energy**: -0.4379 hartree per atom
**E above lowest polymorph**: 4 meV/atom

=====

Entry 3:
Below is a PBEsol-optimized structure of CaMn8O16, with properties calculated at the SCAN level.

POSCAR file:
```
CaMn8O16
1.0
-1.501 0.473 5.403
3.825 -8.145 1.776
8.812 4.046 2.094
Mn O Ca
16 32 2
Direct
0.375 0.345 0.841
0.376 0.657 0.171
0.875 0.175 0.361
0.375 0.824 0.649
0.126 0.159 0.669
0.874 0.659 0.169
0.125 0.675 0.861
0.624 0.157 0.671
0.375 0.177 0.363
0.125 0.329 0.152
0.875 0.829 0.652
0.625 0.324 0.149
0.625 0.677 0.863
0.625 0.845 0.341
0.125 0.841 0.345
0.875 0.341 0.845
0.622 0.305 0.963
0.873 0.460 0.142
0.369 0.861 0.211
0.369 0.183 0.170
0.873 0.202 0.548
0.376 0.542 0.870
0.881 0.862 0.210
0.126 0.042 0.368
0.127 0.960 0.642
0.628 0.316 0.341
0.872 0.799 0.465
0.372 0.816 0.841
0.378 0.805 0.463
0.377 0.460 0.143
0.623 0.696 0.049
0.881 0.183 0.167
0.631 0.361 0.711
0.371 0.143 0.800
0.128 0.299 0.965
0.119 0.683 0.667
0.879 0.818 0.844
0.119 0.362 0.710
0.121 0.641 0.301
0.121 0.318 0.344
0.631 0.683 0.670
0.879 0.141 0.801
0.127 0.702 0.048
0.629 0.643 0.300
0.377 0.196 0.549
0.874 0.542 0.868
0.623 0.960 0.643
0.624 0.042 0.370
0.121 0.004 0.035
0.879 0.504 0.535
```

Properties
**ΔE_f (raw)**: -2.258 eV/atom
**Total energy**: -0.4584 hartree per atom